[1]
This record from Alexandria via LeMat-Bulk describes a relaxed structure of Cu2PRu. The functional is GGA-PBE.

Results
- Calculated total energy: -0.4054 Ry per atom
- Formation energy: 0.20 eV/atom
- DOS at the Fermi energy: 4.126 states/eV/cell

abc: 3.3088 3.3088 4.7853
angles: 90.00 90.00 90.00
With the nearest neighbours (Å) after each atom.
Fractional coordinates of all 4 atoms:
Cu1 0.0000 0.0000 0.2465  2 Cu 2.36-2.43, 4 P 2.62, 4 Ru 2.64
Cu2 0.0000 0.0000 0.7535  2 Cu 2.36-2.43, 4 P 2.62, 4 Ru 2.64
P1 0.5000 0.5000 0.0000  2 Ru 2.39, 8 Cu 2.62
Ru1 0.5000 0.5000 0.5000  2 P 2.39, 8 Cu 2.64

---

[2]
This record from Alexandria via LeMat-Bulk describes a relaxed structure of Mn2IrPt. The functional is GGA-PBE.

Results
- Calculated total energy: -0.6126 Ry per atom
- Formation energy: -0.02 eV/atom
- DOS at the Fermi energy: 3.875 states/eV/cell

abc: 8.8249 8.8249 8.8249
angles: 17.64 17.64 17.64
With the nearest neighbours (Å) after each atom.
Fractional coordinates of all 4 atoms:
Mn1 0.0000 0.0000 0.0000  9 Mn 2.55-2.71, 3 Pt 2.69
Mn2 0.2560 0.2560 0.2560  9 Mn 2.55-2.71, 3 Ir 2.56
Ir1 0.5117 0.5117 0.5117  3 Mn 2.56, 6 Ir 2.71
Pt1 0.7509 0.7509 0.7509  3 Mn 2.69, 6 Pt 2.71, 3 Ir 2.91

---

[3]
This record from Alexandria via LeMat-Bulk describes a relaxed structure of Pm2TiSb3Rh4. The functional is GGA-PBE.

Results
- Calculated total energy: -0.4963 Ry per atom
- DOS at the Fermi energy: 7.489 states/eV/cell
- Raw formation energy: -0.84 eV/atom

abc: 4.3220 4.3220 11.1101
angles: 90.00 90.00 90.00
With the nearest neighbours (Å) after each atom.
Fractional coordinates of all 10 atoms:
Pm1 0.0000 0.5000 0.2458  6 Sb 3.28-3.56, 8 Rh 3.35-3.48, 2 Ti 3.56
Pm2 0.5000 0.0000 0.7542  6 Sb 3.28-3.56, 8 Rh 3.35-3.48, 2 Ti 3.56
Ti1 0.0000 0.0000 0.5000  4 Rh 2.61
Sb1 0.0000 0.5000 0.8626  5 Rh 2.57-2.65
Sb2 0.5000 0.0000 0.1374  5 Rh 2.57-2.65
Sb3 0.5000 0.5000 0.5000  4 Rh 2.61
Rh1 0.0000 0.0000 0.0000  4 Sb 2.65
Rh2 0.0000 0.5000 0.6312  3 Sb 2.57-2.61, 2 Ti 2.61
Rh3 0.5000 0.0000 0.3688  3 Sb 2.57-2.61, 2 Ti 2.61
Rh4 0.5000 0.5000 0.0000  4 Sb 2.65

---

Question: DOS at the Fermi energy of number 3 (Pm2TiSb3Rh4)?
Answer: 7.489 states/eV/cell